No. 1
## Ta5MnMo4 (GGA-PBE)

Data for Ta5MnMo4 after structural relaxation.

Values from the calculation:
symmetry	P4/mmm
total energy	-11.3661	eV per atom
energy of formation from the pure elements	-0.190	eV/atom

Structure (POSCAR):
```
Ta5MnMo4
1.0
-0.1849 -2.3992 -2.1110
2.8402 0.8459 -1.2101
7.3306 -9.7231 10.4086
Ta Mn Mo
5 1 4
Direct
0.5000 0.5000 0.0942 Ta
0.5000 0.5000 0.2964 Ta
0.5000 0.5000 0.5000 Ta
0.5000 0.5000 0.7036 Ta
0.5000 0.5000 0.9058 Ta
0.0000 0.0000 0.0000 Mn
0.0000 0.0000 0.1951 Mo
0.0000 0.0000 0.3984 Mo
0.0000 0.0000 0.6016 Mo
0.0000 0.0000 0.8049 Mo
```

No. 2
## TaMnMo2 (GGA-PBE)

Data for TaMnMo2 after structural relaxation.

Values from the calculation:
symmetry	R3m
total energy	-10.3607	eV per atom
polymorph energy (0 for the lowest one)	35.03	kJ/mol of atoms
energy of formation from the pure elements	0.310	eV/atom

Structure (POSCAR):
```
TaMnMo2
1.0
-4.8388 -2.0873 6.4560
-2.1769 -1.9009 7.8166
-3.8156 0.5693 7.3871
Mn Mo Ta
1 2 1
Direct
0.7481 0.7481 0.7481 Mn
0.0028 0.0028 0.0028 Mo
0.2530 0.2530 0.2530 Mo
0.4962 0.4962 0.4962 Ta
```

No. 3
## TaMnMo2 (GGA-PBE)

Data for TaMnMo2 after structural relaxation.

Values from the calculation:
symmetry	Cmmm
total energy	-10.6413	eV per atom
polymorph energy (0 for the lowest one)	7.96	kJ/mol of atoms
energy of formation from the pure elements	0.030	eV/atom

Structure (POSCAR):
```
TaMnMo2
1.0
2.7422 0.0224 0.0000
-0.8892 2.5941 0.0000
0.0000 0.0000 8.6269
Mn Mo Ta
1 2 1
Direct
0.5000 0.5000 0.7500 Mn
0.0000 0.0000 0.9805 Mo
0.0000 0.0000 0.5195 Mo
0.5000 0.5000 0.2500 Ta
```

No. 4
## Ta6Mn5Mo (GGA-PBE)

Data for Ta6Mn5Mo after structural relaxation.

Values from the calculation:
symmetry	Cmmm
total energy	-10.8622	eV per atom
energy of formation from the pure elements	-0.213	eV/atom

Structure (POSCAR):
```
Ta6Mn5Mo
1.0
4.1541 -0.0247 1.3844
0.0332 6.1858 0.0111
0.0005 -0.0124 6.9233
Mo Mn Ta
1 5 6
Direct
0.0000 0.0000 0.0000 Mo
0.6674 0.5000 0.6653 Mn
0.3316 0.0000 0.3367 Mn
0.0000 0.5000 0.0000 Mn
0.6684 0.0000 0.6633 Mn
0.3326 0.5000 0.3347 Mn
0.8311 0.7483 0.3378 Ta
0.8311 0.2517 0.3378 Ta
0.5000 0.2549 0.0000 Ta
0.5000 0.7451 0.0000 Ta
0.1689 0.7483 0.6622 Ta
0.1689 0.2517 0.6622 Ta
```

No. 5
## Ta3MnMo2 (GGA-PBE)

Data for Ta3MnMo2 after structural relaxation.

Values from the calculation:
symmetry	Cmmm
total energy	-11.2465	eV per atom
energy of formation from the pure elements	-0.182	eV/atom

Structure (POSCAR):
```
Ta3MnMo2
1.0
4.4930 0.0000 0.0180
2.2465 6.7491 0.0090
-0.0256 0.0000 6.3754
Ta Mn Mo
6 2 4
Direct
0.8310 0.3380 0.7570 Ta
0.5000 0.0000 0.2462 Ta
0.1690 0.6620 0.2430 Ta
0.8310 0.3380 0.2430 Ta
0.1690 0.6620 0.7570 Ta
0.5000 0.0000 0.7538 Ta
0.3322 0.3356 0.0000 Mn
0.6678 0.6644 0.0000 Mn
0.0000 0.0000 0.0000 Mo
0.0000 0.0000 0.5000 Mo
0.3331 0.3338 0.5000 Mo
0.6669 0.6662 0.5000 Mo
```

No. 6
## TaMnMo2 (GGA-PBE)

Data for TaMnMo2 after structural relaxation.

Values from the calculation:
symmetry	I-42d
total energy	-10.0518	eV per atom
polymorph energy (0 for the lowest one)	64.84	kJ/mol of atoms
energy of formation from the pure elements	0.619	eV/atom

Structure (POSCAR):
```
TaMnMo2
1.0
7.0979 0.0000 0.0000
0.0000 7.0979 0.0000
3.5489 3.5489 2.5822
Mo Mn Ta
4 2 2
Direct
0.5886 0.1250 0.2500 Mo
0.1614 0.6250 0.2500 Mo
0.3750 0.4114 0.7500 Mo
0.8750 0.8386 0.7500 Mo
0.5000 0.5000 0.0000 Mn
0.2500 0.7500 0.5000 Mn
0.0000 0.0000 0.0000 Ta
0.7500 0.2500 0.5000 Ta
```